--- a ---
The following is a PBE calculation of crystalline CdGe2As at its relaxed geometry, from Alexandria.

Properties
space group: No. 122
DOS(E_F): 0.340 states/eV per atom
volume: 26.94 A^3/atom

Unit cell a=7.1695 b=7.1695 c=7.1695 alpha=129.22 beta=129.22 gamma=74.65
Sites, in units of the cell vectors:
Cd (0.0000, 0.0000, 0.0000)
Cd (0.7500, 0.2500, 0.5000)
Ge (0.1454, 0.6250, 0.0204)
Ge (0.3750, 0.3954, 0.5204)
Ge (0.6046, 0.1250, 0.9796)
Ge (0.8750, 0.8546, 0.4796)
As (0.2500, 0.7500, 0.5000)
As (0.5000, 0.5000, 0.0000)

--- b ---
The following is a PBE calculation of crystalline CdGe2As at its relaxed geometry, from Alexandria.

Properties
space group: No. 225
DOS(E_F): 0.477 states/eV per atom
volume: 20.67 A^3/atom

Unit cell a=4.8899 b=4.8899 c=4.8899 alpha=60.00 beta=60.00 gamma=60.00
Sites, in units of the cell vectors:
Cd (0.0000, 0.0000, 0.0000)
Ge (0.2500, 0.2500, 0.2500)
Ge (0.7500, 0.7500, 0.7500)
As (0.5000, 0.5000, 0.5000)

a has the most favorable energy; the next structure is 17.1 kJ/mol of atoms above.

--- a ---
The following is a PBE calculation of crystalline Cd2GeAs2 at its relaxed geometry, from Alexandria.

Properties
space group: No. 127
DOS(E_F): 0.483 states/eV per atom
volume: 22.15 A^3/atom

Unit cell a=7.6607 b=7.6607 c=3.7736 alpha=90.00 beta=90.00 gamma=90.00
Sites, in units of the cell vectors:
Cd (0.1354, 0.3646, 0.0000)
Cd (0.3646, 0.8646, 0.0000)
Cd (0.6354, 0.1354, 0.0000)
Cd (0.8646, 0.6354, 0.0000)
Ge (0.0000, 0.0000, 0.5000)
Ge (0.5000, 0.5000, 0.5000)
As (0.1755, 0.6755, 0.5000)
As (0.3245, 0.1755, 0.5000)
As (0.6755, 0.8245, 0.5000)
As (0.8245, 0.3245, 0.5000)

--- b ---
The following is a PBE calculation of crystalline Cd2GeAs2 at its relaxed geometry, from Alexandria.

Properties
space group: No. 127
DOS(E_F): 0.506 states/eV per atom
volume: 21.87 A^3/atom

Unit cell a=8.1831 b=8.1831 c=3.2661 alpha=90.00 beta=90.00 gamma=90.00
Sites, in units of the cell vectors:
Cd (0.1357, 0.3643, 0.0000)
Cd (0.3643, 0.8643, 0.0000)
Cd (0.6357, 0.1357, 0.0000)
Cd (0.8643, 0.6357, 0.0000)
Ge (0.0000, 0.0000, 0.0000)
Ge (0.5000, 0.5000, 0.0000)
As (0.1645, 0.6645, 0.5000)
As (0.3355, 0.1645, 0.5000)
As (0.6645, 0.8355, 0.5000)
As (0.8355, 0.3355, 0.5000)

--- c ---
The following is a PBE calculation of crystalline Cd2GeAs2 at its relaxed geometry, from Alexandria.

Properties
space group: No. 139
DOS(E_F): 0.453 states/eV per atom
volume: 23.06 A^3/atom

Unit cell a=7.3295 b=7.3295 c=7.3295 alpha=147.17 beta=147.17 gamma=47.11
Sites, in units of the cell vectors:
Cd (0.2500, 0.7500, 0.5000)
Cd (0.7500, 0.2500, 0.5000)
Ge (0.0000, 0.0000, 0.0000)
As (0.3990, 0.3990, 0.0000)
As (0.6010, 0.6010, 0.0000)

a has the most favorable energy; the next structure is 7.7 kJ/mol of atoms above.

--- a ---
The following is a PBE calculation of crystalline Cd2Ge2As at its relaxed geometry, from Alexandria.

Properties
space group: No. 127
DOS(E_F): 0.561 states/eV per atom
volume: 22.34 A^3/atom

Unit cell a=7.0495 b=7.0495 c=4.4951 alpha=90.00 beta=90.00 gamma=90.00
Sites, in units of the cell vectors:
Cd (0.1741, 0.3259, 0.0000)
Cd (0.3259, 0.8259, 0.0000)
Cd (0.6741, 0.1741, 0.0000)
Cd (0.8259, 0.6741, 0.0000)
Ge (0.1335, 0.6335, 0.5000)
Ge (0.3665, 0.1335, 0.5000)
Ge (0.6335, 0.8665, 0.5000)
Ge (0.8665, 0.3665, 0.5000)
As (0.0000, 0.0000, 0.5000)
As (0.5000, 0.5000, 0.5000)

--- b ---
The following is a PBE calculation of crystalline Cd2Ge2As at its relaxed geometry, from Alexandria.

Properties
space group: No. 127
DOS(E_F): 0.500 states/eV per atom
volume: 21.78 A^3/atom

Unit cell a=8.3775 b=8.3775 c=3.1033 alpha=90.00 beta=90.00 gamma=90.00
Sites, in units of the cell vectors:
Cd (0.1834, 0.3166, 0.0000)
Cd (0.3166, 0.8166, 0.0000)
Cd (0.6834, 0.1834, 0.0000)
Cd (0.8166, 0.6834, 0.0000)
Ge (0.1132, 0.6132, 0.5000)
Ge (0.3868, 0.1132, 0.5000)
Ge (0.6132, 0.8868, 0.5000)
Ge (0.8868, 0.3868, 0.5000)
As (0.0000, 0.0000, 0.0000)
As (0.5000, 0.5000, 0.0000)

a has the most favorable energy; the next structure is 5.5 kJ/mol of atoms above.

--- a ---
The following is a PBE calculation of crystalline Cd2GeAs at its relaxed geometry, from Alexandria.

Properties
space group: No. 225
DOS(E_F): 0.482 states/eV per atom
volume: 21.53 A^3/atom

Unit cell a=4.9571 b=4.9571 c=4.9571 alpha=60.00 beta=60.00 gamma=60.00
Sites, in units of the cell vectors:
Cd (0.2500, 0.2500, 0.2500)
Cd (0.7500, 0.7500, 0.7500)
Ge (0.0000, 0.0000, 0.0000)
As (0.5000, 0.5000, 0.5000)

--- b ---
The following is a PBE calculation of crystalline Cd2GeAs at its relaxed geometry, from Alexandria.

Properties
space group: No. 122
DOS(E_F): 0.562 states/eV per atom
volume: 22.31 A^3/atom

Unit cell a=6.2471 b=6.2471 c=6.2471 alpha=102.74 beta=102.74 gamma=123.98
Sites, in units of the cell vectors:
Cd (0.1122, 0.6250, 0.9872)
Cd (0.3750, 0.3622, 0.4872)
Cd (0.6378, 0.1250, 0.0128)
Cd (0.8750, 0.8878, 0.5128)
Ge (0.2500, 0.7500, 0.5000)
Ge (0.5000, 0.5000, 0.0000)
As (0.0000, 0.0000, 0.0000)
As (0.7500, 0.2500, 0.5000)

b has the most favorable energy; the next structure is 7.0 kJ/mol of atoms above.

--- a ---
The following is a PBE calculation of crystalline CdGe3As at its relaxed geometry, from Alexandria.

Properties
space group: No. 221
DOS(E_F): 0.513 states/eV per atom
volume: 26.62 A^3/atom

Unit cell a=5.1060 b=5.1060 c=5.1060 alpha=90.00 beta=90.00 gamma=90.00
Sites, in units of the cell vectors:
Cd (0.0000, 0.0000, 0.0000)
Ge (0.0000, 0.0000, 0.5000)
Ge (0.0000, 0.5000, 0.0000)
Ge (0.5000, 0.0000, 0.0000)
As (0.5000, 0.5000, 0.5000)

--- b ---
The following is a PBE calculation of crystalline CdGe3As at its relaxed geometry, from Alexandria.

Properties
space group: No. 221
DOS(E_F): 0.531 states/eV per atom
volume: 26.07 A^3/atom

Unit cell a=5.0706 b=5.0706 c=5.0706 alpha=90.00 beta=90.00 gamma=90.00
Sites, in units of the cell vectors:
Cd (0.0000, 0.0000, 0.0000)
Ge (0.0000, 0.5000, 0.5000)
Ge (0.5000, 0.0000, 0.5000)
Ge (0.5000, 0.5000, 0.0000)
As (0.5000, 0.5000, 0.5000)

b has the most favorable energy; the next structure is 28.3 kJ/mol of atoms above.

--- a ---
The following is a PBE calculation of crystalline CdGeAs2Se at its relaxed geometry, from Alexandria.

Properties
space group: No. 123
DOS(E_F): 0.973 states/eV per atom
volume: 27.41 A^3/atom

Unit cell a=5.0914 b=5.0914 c=5.2875 alpha=90.00 beta=90.00 gamma=90.00
Sites, in units of the cell vectors:
Cd (0.0000, 0.0000, 0.0000)
Ge (0.5000, 0.5000, 0.5000)
As (0.0000, 0.5000, 0.0000)
As (0.5000, 0.0000, 0.0000)
Se (0.0000, 0.0000, 0.5000)

--- b ---
The following is a PBE calculation of crystalline CdGeAs2Se at its relaxed geometry, from Alexandria.

Properties
space group: No. 123
DOS(E_F): 0.970 states/eV per atom
volume: 25.08 A^3/atom

Unit cell a=5.0057 b=5.0057 c=5.0043 alpha=90.00 beta=90.00 gamma=90.00
Sites, in units of the cell vectors:
Cd (0.0000, 0.0000, 0.0000)
Ge (0.5000, 0.5000, 0.5000)
As (0.0000, 0.5000, 0.5000)
As (0.5000, 0.0000, 0.5000)
Se (0.5000, 0.5000, 0.0000)

b has the most favorable energy; the next structure is 31.3 kJ/mol of atoms above.

--- a ---
The following is a PBE calculation of crystalline Cd2AsH at its relaxed geometry, from Alexandria.

Properties
space group: No. 122
DOS(E_F): 0.018 states/eV per atom
volume: 20.58 A^3/atom

Unit cell a=7.2320 b=7.2320 c=7.2320 alpha=138.46 beta=138.46 gamma=60.20
Sites, in units of the cell vectors:
Cd (0.0460, 0.6250, 0.9210)
Cd (0.3750, 0.2960, 0.4210)
Cd (0.7040, 0.1250, 0.0790)
Cd (0.8750, 0.9540, 0.5790)
As (0.2500, 0.7500, 0.5000)
As (0.5000, 0.5000, 0.0000)
H (0.0000, 0.0000, 0.0000)
H (0.7500, 0.2500, 0.5000)

--- b ---
The following is a PBE calculation of crystalline Cd2AsH at its relaxed geometry, from Alexandria.

Properties
space group: No. 225
DOS(E_F): 0.103 states/eV per atom
volume: 17.97 A^3/atom

Unit cell a=4.6669 b=4.6669 c=4.6669 alpha=60.00 beta=60.00 gamma=60.00
Sites, in units of the cell vectors:
Cd (0.2500, 0.2500, 0.2500)
Cd (0.7500, 0.7500, 0.7500)
As (0.0000, 0.0000, 0.0000)
H (0.5000, 0.5000, 0.5000)

--- c ---
The following is a PBE calculation of crystalline Cd2AsH at its relaxed geometry, from Alexandria.

Properties
space group: No. 166
DOS(E_F): 0.094 states/eV per atom
volume: 24.60 A^3/atom

Unit cell a=6.7093 b=6.7093 c=6.7093 alpha=37.08 beta=37.08 gamma=37.08
Sites, in units of the cell vectors:
Cd (0.0990, 0.0990, 0.0990)
Cd (0.9010, 0.9010, 0.9010)
As (0.5000, 0.5000, 0.5000)
H (0.0000, 0.0000, 0.0000)

--- d ---
The following is a PBE calculation of crystalline Cd2AsH at its relaxed geometry, from Alexandria.

Properties
space group: No. 12
DOS(E_F): 0.284 states/eV per atom
volume: 18.81 A^3/atom

Unit cell a=6.1567 b=6.1567 c=5.5532 alpha=114.27 beta=114.27 gamma=53.66
Sites, in units of the cell vectors:
Cd (0.0859, 0.0859, 0.3213)
Cd (0.3356, 0.3356, 0.0899)
Cd (0.6644, 0.6644, 0.9101)
Cd (0.9141, 0.9141, 0.6787)
As (0.3749, 0.3749, 0.6286)
As (0.6251, 0.6251, 0.3714)
H (0.1236, 0.1236, 0.9085)
H (0.8764, 0.8764, 0.0915)

c has the most favorable energy; the next structure is 11.0 kJ/mol of atoms above.

--- a ---
The following is a PBE calculation of crystalline CdAsH2 at its relaxed geometry, from Alexandria.

Properties
space group: No. 225
DOS(E_F): 0.578 states/eV per atom
volume: 12.27 A^3/atom

Unit cell a=4.1102 b=4.1102 c=4.1102 alpha=60.00 beta=60.00 gamma=60.00
Sites, in units of the cell vectors:
Cd (0.0000, 0.0000, 0.0000)
As (0.5000, 0.5000, 0.5000)
H (0.2500, 0.2500, 0.2500)
H (0.7500, 0.7500, 0.7500)

--- b ---
The following is a PBE calculation of crystalline CdAsH2 at its relaxed geometry, from Alexandria.

Properties
space group: No. 2
DOS(E_F): 0.106 states/eV per atom
volume: 14.21 A^3/atom

Unit cell a=3.1211 b=4.6899 c=4.7069 alpha=63.17 beta=70.75 gamma=71.44
Sites, in units of the cell vectors:
Cd (0.0000, 0.0000, 0.0000)
As (0.5000, 0.5000, 0.5000)
H (0.2558, 0.7440, 0.7437)
H (0.7442, 0.2560, 0.2563)

b has the most favorable energy; the next structure is 48.5 kJ/mol of atoms above.